1.
This record from Alexandria describes a geometry-optimized EuZn6 structure. The functional is PBE.

Results
- DOS at the Fermi energy (states/eV/f.u.) = 13.3
- formation energy (eV per atom) = 0.128
- total magnetization (Bohr magnetons per cell) = 7.1
- space-group type = Im-3m (229)
- raw total energy (eV per atom) = -2.432

```
EuZn6
1.0
5.961 0.000 0.000
-1.987 5.620 0.000
-1.987 -2.810 4.867
Zn Eu
6 1
Direct
0.250 0.500 0.750 Zn
0.750 0.250 0.500 Zn
0.250 0.750 0.500 Zn
0.500 0.250 0.750 Zn
0.750 0.500 0.250 Zn
0.500 0.750 0.250 Zn
0.000 0.000 0.000 Eu
```

2.
This record from Alexandria describes a geometry-optimized CaCr3Cd structure. The functional is PBE.

Results
- DOS at the Fermi energy (states/eV/f.u.) = 4.0
- formation energy (eV per atom) = 1.206
- total magnetization (Bohr magnetons per cell) = 13.4
- space-group type = Pm-3m (221)
- energy above the most stable polymorph in this dataset (meV per atom) = 0
- raw total energy (eV per atom) = -5.152

```
CaCr3Cd
1.0
5.176 0.000 0.000
0.000 5.176 0.000
0.000 0.000 5.176
Ca Cr Cd
1 3 1
Direct
0.500 0.500 0.500 Ca
0.000 0.500 0.000 Cr
0.000 0.000 0.500 Cr
0.500 0.000 0.000 Cr
0.000 0.000 0.000 Cd
```

3.
This record from Alexandria describes a geometry-optimized Sm3MnPd12 structure. The functional is PBE.

Results
- DOS at the Fermi energy (states/eV/f.u.) = 13.1
- formation energy (eV per atom) = -0.645
- total magnetization (Bohr magnetons per cell) = 4.1
- space-group type = P4/mmm (123)
- raw total energy (eV per atom) = -5.998

```
Sm3MnPd12
1.0
-2.685 -1.890 -2.504
-1.060 -2.556 3.066
-11.668 10.414 4.648
Pd Sm Mn
12 3 1
Direct
0.500 0.500 0.500 Pd
0.500 0.500 0.242 Pd
0.000 0.500 0.371 Pd
0.500 0.500 0.758 Pd
0.500 0.000 0.888 Pd
0.500 0.000 0.371 Pd
0.000 0.500 0.888 Pd
0.500 0.000 0.629 Pd
0.000 0.500 0.112 Pd
0.500 0.000 0.112 Pd
0.000 0.500 0.629 Pd
0.500 0.500 0.000 Pd
0.000 0.000 0.500 Sm
0.000 0.000 0.758 Sm
0.000 0.000 0.242 Sm
0.000 0.000 0.000 Mn
```

Repeat the first record exactly.
This record from Alexandria describes a geometry-optimized EuZn6 structure. The functional is PBE.

Results
- DOS at the Fermi energy (states/eV/f.u.) = 13.3
- formation energy (eV per atom) = 0.128
- total magnetization (Bohr magnetons per cell) = 7.1
- space-group type = Im-3m (229)
- raw total energy (eV per atom) = -2.432

```
EuZn6
1.0
5.961 0.000 0.000
-1.987 5.620 0.000
-1.987 -2.810 4.867
Zn Eu
6 1
Direct
0.250 0.500 0.750 Zn
0.750 0.250 0.500 Zn
0.250 0.750 0.500 Zn
0.500 0.250 0.750 Zn
0.750 0.500 0.250 Zn
0.500 0.750 0.250 Zn
0.000 0.000 0.000 Eu
```

- The lowest raw total energy belongs to which entry?
  Sm3MnPd12